1.
LaY2In2 at its PBEsol-relaxed geometry, computed with meta-GGA SCAN.

The structure in CIF format:
```
data_LaY2In2
_chemical_formula_sum 'La2 Y4 In4'
_cell_length_a 3.692
_cell_length_b 8.761
_cell_length_c 8.761
_cell_angle_alpha 90.00
_cell_angle_beta 90.00
_cell_angle_gamma 90.00
_space_group_name_H-M_alt 'P 1'
_space_group_IT_number 1
loop_
_space_group_symop_operation_xyz
'x,y,z'
loop_
_atom_site_label
_atom_site_fract_x
_atom_site_fract_y
_atom_site_fract_z
Y1 0.500 0.175 0.675
In1 0.000 0.378 0.878
Y2 0.500 0.675 0.825
In2 0.000 0.122 0.378
Y3 0.500 0.825 0.325
In3 0.000 0.622 0.122
La1 0.000 0.500 0.500
Y4 0.500 0.325 0.175
In4 0.000 0.878 0.622
La2 0.000 0.000 0.000
```

Results
* space group: No. 127
* theoretical density: 6.402 Mg/m³
* formation energy from the elements: -541 meV per atom



2.
Te2PbCl at its PBEsol-relaxed geometry, computed with meta-GGA SCAN.

The structure in CIF format:
```
data_Te2PbCl
_chemical_formula_sum 'Te2 Pb1 Cl1'
_cell_length_a 4.249
_cell_length_b 4.249
_cell_length_c 6.496
_cell_angle_alpha 90.00
_cell_angle_beta 90.00
_cell_angle_gamma 90.00
_space_group_name_H-M_alt 'P 1'
_space_group_IT_number 1
loop_
_space_group_symop_operation_xyz
'x,y,z'
loop_
_atom_site_label
_atom_site_fract_x
_atom_site_fract_y
_atom_site_fract_z
Cl1 0.500 0.500 0.000
Te1 0.000 0.000 0.286
Pb1 0.500 0.500 0.500
Te2 0.000 0.000 0.714
```

Results
* space group: No. 123
* excess energy over the best structure of this formula in the dataset: 0.80 eV per formula unit
* theoretical density: 7.049 Mg/m³



3.
Ba2Si3Ge5O18 at its PBEsol-relaxed geometry, computed with meta-GGA SCAN.

The structure in CIF format:
```
data_Ba2Si3Ge5O18
_chemical_formula_sum 'Ba2 Si3 Ge5 O18'
_cell_length_a 6.693
_cell_length_b 6.693
_cell_length_c 9.798
_cell_angle_alpha 90.00
_cell_angle_beta 90.00
_cell_angle_gamma 120.00
_space_group_name_H-M_alt 'P 1'
_space_group_IT_number 1
loop_
_space_group_symop_operation_xyz
'x,y,z'
loop_
_atom_site_label
_atom_site_fract_x
_atom_site_fract_y
_atom_site_fract_z
O1 0.218 0.973 0.649
Ge1 0.760 0.643 0.500
O2 0.763 0.997 0.862
O3 0.755 0.782 0.649
O4 0.596 0.520 0.000
Ba1 0.333 0.667 0.752
Ge2 0.357 0.117 0.500
Ge3 0.000 0.000 0.758
O5 0.027 0.245 0.351
Si1 0.374 0.252 0.000
Ba2 0.333 0.667 0.248
O6 0.234 0.237 0.138
O7 0.583 0.048 0.500
O8 0.003 0.766 0.862
O9 0.027 0.245 0.649
Si2 0.878 0.626 0.000
Ge4 0.000 0.000 0.242
O10 0.003 0.766 0.138
O11 0.952 0.535 0.500
Si3 0.748 0.122 0.000
O12 0.925 0.404 0.000
O13 0.465 0.417 0.500
O14 0.763 0.997 0.138
O15 0.755 0.782 0.351
O16 0.218 0.973 0.351
O17 0.480 0.075 0.000
Ge5 0.883 0.240 0.500
O18 0.234 0.237 0.862
```

Results
* space group: No. 174
* theoretical density: 4.412 Mg/m³
* DFT total energy: -13.781 eV/atom



4.
BaZr3Co at its PBEsol-relaxed geometry, computed with meta-GGA SCAN.

The structure in CIF format:
```
data_BaZr3Co
_chemical_formula_sum 'Ba1 Zr3 Co1'
_cell_length_a 5.152
_cell_length_b 5.152
_cell_length_c 5.152
_cell_angle_alpha 90.00
_cell_angle_beta 90.00
_cell_angle_gamma 90.00
_space_group_name_H-M_alt 'P 1'
_space_group_IT_number 1
loop_
_space_group_symop_operation_xyz
'x,y,z'
loop_
_atom_site_label
_atom_site_fract_x
_atom_site_fract_y
_atom_site_fract_z
Zr1 0.000 0.500 0.000
Ba1 0.000 0.000 0.000
Co1 0.500 0.500 0.500
Zr2 0.000 0.000 0.500
Zr3 0.500 0.000 0.000
```

Results
* space group: No. 221
* theoretical density: 5.707 Mg/m³
* formation energy from the elements: 2114 meV per atom



5.
LaCl2 at its PBEsol-relaxed geometry, computed with meta-GGA SCAN.

The structure in CIF format:
```
data_LaCl2
_chemical_formula_sum 'La2 Cl4'
_cell_length_a 3.526
_cell_length_b 3.526
_cell_length_c 13.711
_cell_angle_alpha 97.39
_cell_angle_beta 97.39
_cell_angle_gamma 90.00
_space_group_name_H-M_alt 'P 1'
_space_group_IT_number 1
loop_
_space_group_symop_operation_xyz
'x,y,z'
loop_
_atom_site_label
_atom_site_fract_x
_atom_site_fract_y
_atom_site_fract_z
Cl1 0.059 0.059 0.119
Cl2 0.191 0.691 0.381
La1 0.750 0.250 0.500
La2 0.500 0.500 0.000
Cl3 0.309 0.809 0.619
Cl4 0.941 0.941 0.881
```

Results
* space group: No. 141
* theoretical density: 4.156 Mg/m³
* DFT total energy: -22.029 eV/atom



6.
Bi7I2 at its PBEsol-relaxed geometry, computed with meta-GGA SCAN.

The structure in CIF format:
```
data_Bi7I2
_chemical_formula_sum 'Bi14 I4'
_cell_length_a 4.389
_cell_length_b 11.253
_cell_length_c 13.209
_cell_angle_alpha 91.81
_cell_angle_beta 90.00
_cell_angle_gamma 90.00
_space_group_name_H-M_alt 'P 1'
_space_group_IT_number 1
loop_
_space_group_symop_operation_xyz
'x,y,z'
loop_
_atom_site_label
_atom_site_fract_x
_atom_site_fract_y
_atom_site_fract_z
I1 0.750 0.653 0.924
Bi1 0.250 0.698 0.420
I2 0.250 0.543 0.646
Bi2 0.750 0.089 0.026
Bi3 0.750 0.800 0.693
Bi4 0.250 0.413 0.852
Bi5 0.250 0.911 0.974
Bi6 0.250 0.977 0.749
I3 0.250 0.347 0.076
Bi7 0.250 0.123 0.527
I4 0.750 0.457 0.354
Bi8 0.750 0.302 0.580
Bi9 0.250 0.200 0.307
Bi10 0.750 0.587 0.148
Bi11 0.750 0.877 0.473
Bi12 0.250 0.770 0.200
Bi13 0.750 0.023 0.251
Bi14 0.750 0.230 0.800
```

Results
* space group: No. 11
* theoretical density: 8.742 Mg/m³
* DFT total energy: -69.357 eV/atom



7.
LaAsO4 at its PBEsol-relaxed geometry, computed with meta-GGA SCAN.

The structure in CIF format:
```
data_LaAsO4
_chemical_formula_sum 'La4 As4 O16'
_cell_length_a 6.753
_cell_length_b 7.011
_cell_length_c 7.200
_cell_angle_alpha 90.00
_cell_angle_beta 90.00
_cell_angle_gamma 104.83
_space_group_name_H-M_alt 'P 1'
_space_group_IT_number 1
loop_
_space_group_symop_operation_xyz
'x,y,z'
loop_
_atom_site_label
_atom_site_fract_x
_atom_site_fract_y
_atom_site_fract_z
O1 0.494 0.392 0.157
La1 0.099 0.283 0.346
O2 0.072 0.247 0.005
As1 0.113 0.804 0.163
O3 0.928 0.753 0.995
As2 0.613 0.304 0.337
O4 0.830 0.484 0.391
O5 0.428 0.253 0.505
La2 0.401 0.217 0.846
O6 0.670 0.016 0.891
O7 0.006 0.108 0.657
La3 0.901 0.717 0.654
O8 0.506 0.608 0.843
La4 0.599 0.783 0.154
O9 0.170 0.516 0.609
O10 0.330 0.984 0.109
O11 0.223 0.617 0.215
O12 0.777 0.383 0.785
As3 0.887 0.196 0.837
O13 0.723 0.117 0.285
As4 0.387 0.696 0.663
O14 0.277 0.883 0.715
O15 0.572 0.747 0.495
O16 0.994 0.892 0.343
```

Results
* space group: No. 14
* theoretical density: 5.599 Mg/m³
* DFT total energy: -17.333 eV/atom



8.
RbCrGe2 at its PBEsol-relaxed geometry, computed with meta-GGA SCAN.

The structure in CIF format:
```
data_RbCrGe2
_chemical_formula_sum 'Rb1 Cr1 Ge2'
_cell_length_a 4.934
_cell_length_b 4.934
_cell_length_c 4.934
_cell_angle_alpha 60.00
_cell_angle_beta 60.00
_cell_angle_gamma 60.00
_space_group_name_H-M_alt 'P 1'
_space_group_IT_number 1
loop_
_space_group_symop_operation_xyz
'x,y,z'
loop_
_atom_site_label
_atom_site_fract_x
_atom_site_fract_y
_atom_site_fract_z
Ge1 0.750 0.750 0.750
Rb1 0.500 0.500 0.500
Ge2 0.250 0.250 0.250
Cr1 0.000 0.000 0.000
```

Results
* space group: No. 225
* theoretical density: 5.528 Mg/m³
* formation energy from the elements: 600 meV per atom



9.
RbWSCl2 at its PBEsol-relaxed geometry, computed with meta-GGA SCAN.

The structure in CIF format:
```
data_RbWSCl2
_chemical_formula_sum 'Rb1 W1 S1 Cl2'
_cell_length_a 4.576
_cell_length_b 4.991
_cell_length_c 4.991
_cell_angle_alpha 90.00
_cell_angle_beta 90.00
_cell_angle_gamma 90.00
_space_group_name_H-M_alt 'P 1'
_space_group_IT_number 1
loop_
_space_group_symop_operation_xyz
'x,y,z'
loop_
_atom_site_label
_atom_site_fract_x
_atom_site_fract_y
_atom_site_fract_z
S1 0.500 0.000 0.000
Rb1 0.500 0.500 0.500
Cl1 0.000 0.000 0.500
Cl2 0.000 0.500 0.000
W1 0.000 0.000 0.000
```

Results
* space group: No. 123
* theoretical density: 5.422 Mg/m³
* DFT total energy: -23.986 eV/atom



10.
Ca2CdW at its PBEsol-relaxed geometry, computed with meta-GGA SCAN.

The structure in CIF format:
```
data_Ca2CdW
_chemical_formula_sum 'Ca2 Cd1 W1'
_cell_length_a 3.136
_cell_length_b 3.136
_cell_length_c 10.731
_cell_angle_alpha 81.60
_cell_angle_beta 81.60
_cell_angle_gamma 60.00
_space_group_name_H-M_alt 'P 1'
_space_group_IT_number 1
loop_
_space_group_symop_operation_xyz
'x,y,z'
loop_
_atom_site_label
_atom_site_fract_x
_atom_site_fract_y
_atom_site_fract_z
Cd1 0.500 0.500 0.500
Ca1 0.745 0.745 0.764
W1 0.000 0.000 0.000
Ca2 0.255 0.255 0.236
```

Results
* space group: No. 166
* theoretical density: 6.936 Mg/m³
* formation energy from the elements: 702 meV per atom



11.
CsRb3Nb at its PBEsol-relaxed geometry, computed with meta-GGA SCAN.

The structure in CIF format:
```
data_CsRb3Nb
_chemical_formula_sum 'Cs1 Rb3 Nb1'
_cell_length_a 7.170
_cell_length_b 7.170
_cell_length_c 7.170
_cell_angle_alpha 90.00
_cell_angle_beta 90.00
_cell_angle_gamma 90.00
_space_group_name_H-M_alt 'P 1'
_space_group_IT_number 1
loop_
_space_group_symop_operation_xyz
'x,y,z'
loop_
_atom_site_label
_atom_site_fract_x
_atom_site_fract_y
_atom_site_fract_z
Rb1 0.000 0.000 0.500
Rb2 0.000 0.500 0.000
Nb1 0.000 0.000 0.000
Rb3 0.500 0.000 0.000
Cs1 0.500 0.500 0.500
```

Results
* space group: No. 221
* theoretical density: 2.172 Mg/m³
* formation energy from the elements: 845 meV per atom



12.
OsSIO2 at its PBEsol-relaxed geometry, computed with meta-GGA SCAN.

The structure in CIF format:
```
data_OsSIO2
_chemical_formula_sum 'Os1 S1 I1 O2'
_cell_length_a 3.650
_cell_length_b 3.650
_cell_length_c 5.814
_cell_angle_alpha 90.00
_cell_angle_beta 90.00
_cell_angle_gamma 90.00
_space_group_name_H-M_alt 'P 1'
_space_group_IT_number 1
loop_
_space_group_symop_operation_xyz
'x,y,z'
loop_
_atom_site_label
_atom_site_fract_x
_atom_site_fract_y
_atom_site_fract_z
Os1 0.500 0.500 0.500
I1 0.000 0.000 0.500
O1 0.500 0.000 0.000
O2 0.000 0.500 0.000
S1 0.000 0.000 0.000
```

Results
* space group: No. 123
* theoretical density: 8.172 Mg/m³
* DFT total energy: -25.113 eV/atom